Below is a geometry-optimized ErInNi structure, with properties calculated at the PBE-GGA level.

Structure (POSCAR):
```
ErInNi
1.0
3.821 0.000 0.000
0.000 13.487 0.000
0.000 0.000 7.334
Er In Ni
6 6 6
direct
0.250 0.109 0.016 Er
0.250 0.250 0.459 Er
0.250 0.391 0.016 Er
0.750 0.609 0.984 Er
0.750 0.750 0.541 Er
0.750 0.891 0.984 Er
0.250 0.561 0.639 In
0.250 0.750 0.200 In
0.250 0.939 0.639 In
0.750 0.061 0.361 In
0.750 0.250 0.800 In
0.750 0.439 0.361 In
0.250 0.562 0.266 Ni
0.250 0.750 0.819 Ni
0.250 0.938 0.266 Ni
0.750 0.062 0.734 Ni
0.750 0.250 0.181 Ni
0.750 0.438 0.734 Ni
```

**Symmetry**: Pmmn
**DOS(E_F)**: 0.58 states/eV/atom
**Volume**: 21.00 Å³/atom
**Crystal system**: orthorhombic
**Formation energy**: -0.3722 eV/atom